# Y4HPd2

Y4HPd2 after structural relaxation (PBE, Alexandria).

```
Y4HPd2
1.0
-0.197 2.010 4.264
-1.691 -4.014 1.814
5.740 -3.208 4.387
Y H Pd
4 1 2
Direct
0.813 0.813 0.375
0.187 0.187 0.625
0.000 0.500 0.000
0.500 0.000 0.000
0.000 0.000 0.000
0.623 0.623 0.753
0.377 0.377 0.247
```

The value obtained for the calculated total energy is -6.188 eV per atom. The calculation puts the mass density at 5.9 g/cm³. Its space group is No. 139.

# Sc2BeHg

Sc2BeHg after structural relaxation (PBE, Alexandria).

```
Sc2BeHg
1.0
8.688 0.007 0.004
8.040 3.293 0.004
8.040 1.586 2.886
Sc Be Hg
2 1 1
Direct
0.989 0.989 0.989
0.511 0.511 0.511
0.250 0.250 0.250
0.750 0.750 0.750
```

The value obtained for the calculated total energy is -4.162 eV per atom. The formation energy is 0.011 eV/atom. As for the energy above the most stable polymorph in this dataset: 247.9 meV per atom. The calculation puts the mass density at 6.0 g/cm³. Its space group is No. 166.

# Ca3WS

Ca3WS after structural relaxation (PBE, Alexandria).

```
Ca3WS
1.0
-5.221 -0.945 -0.529
0.892 -2.282 -4.735
0.613 -4.725 2.393
Ca S W
3 1 1
Direct
0.000 0.500 0.000
0.000 0.000 0.500
0.500 0.000 0.000
0.000 0.000 0.000
0.500 0.500 0.500
```

The value obtained for the calculated total energy is -4.428 eV per atom. As for the energy above the most stable polymorph in this dataset: 0.0 meV per atom. The calculation puts the mass density at 3.7 g/cm³. Its space group is No. 221.

# DyHfTc

DyHfTc after structural relaxation (PBE, Alexandria).

```
DyHfTc
1.0
3.380 0.000 0.000
0.000 3.380 0.000
-1.690 -1.690 5.815
Hf Tc Dy
1 1 1
Direct
0.296 0.296 0.592
0.682 0.682 0.363
0.023 0.023 0.045
```

The value obtained for the calculated total energy is -8.472 eV per atom. The formation energy is -0.165 eV/atom. As for the energy above the most stable polymorph in this dataset: 0.0 meV per atom. The calculation puts the mass density at 11.0 g/cm³. Its space group is No. 107.

In order of appearance, V = 160 82 152 66 Å³ per cell.